Below is crystalline LaY4Au2 at its relaxed geometry, with properties calculated at the GGA-PBE level.

Computed properties:
Crystal system = tetragonal
Total DFT energy (no corrections) = -5.04 eV per atom
Size of the total moment = 0.0 μB per formula unit
Formation energy = 0.29 eV per atom

```
data_LaY4Au2
_chemical_formula_sum 'La2 Y8 Au4'
_cell_length_a 5.5437
_cell_length_b 5.5437
_cell_length_c 14.3197
_cell_angle_alpha 90.00
_cell_angle_beta 90.00
_cell_angle_gamma 90.00
_space_group_name_H-M_alt 'I 4/m m m'
_space_group_IT_number 139
_space_group_name_Hall '-I 4 2'
loop_
_atom_site_label
_atom_site_fract_x
_atom_site_fract_y
_atom_site_fract_z
La1 0.0000 0.0000 0.0000
Y1 0.0000 0.0000 0.2052
Y2 0.0000 0.5000 0.0000
Au1 0.0000 0.0000 0.3991
```